# 1
SrSmIn | PBE | optimized geometry

Calculated values
Space-group type: No. 107
Excess energy over the best structure of this formula in the dataset in meV per atom: 81.7

Cell and atoms, written as POSCAR:
```
SrSmIn
1.0
3.9062 0.0000 0.0000
0.0000 3.9062 0.0000
-1.9531 -1.9531 6.9851
Sm In Sr
1 1 1
Cartesian
1.9531 1.9531 1.1812
1.9531 1.9531 6.4655
0.0000 0.0000 4.2280
```

***

# 2
BeRu5 | PBE | optimized geometry

Calculated values
Space-group type: No. 216
Excess energy over the best structure of this formula in the dataset in meV per atom: 725.8

Cell and atoms, written as POSCAR:
```
BeRu5
1.0
2.8218 -1.2029 3.9500
-1.4692 1.2810 4.6057
-1.5475 -3.5180 3.2001
Ru Be
5 1
Cartesian
-0.0487 -0.8600 2.9390
0.6540 -0.3872 5.7470
0.6148 -2.7935 5.0422
-0.1219 -2.1512 7.3515
-1.5367 -1.5480 5.3710
0.0000 0.0000 0.0000
```

***

# 3
Ac2Zn6CoNi | PBE | optimized geometry

Calculated values
Space-group type: No. 225

Cell and atoms, written as POSCAR:
```
Ac2Zn6CoNi
1.0
6.6454 0.0025 0.0032
0.0025 6.6458 0.0031
3.3263 3.3266 4.7028
Zn Ni Co Ac
6 1 1 2
Cartesian
6.6495 6.6499 2.3590
3.3246 3.3250 2.3501
1.6645 1.6638 0.0019
8.3097 8.3110 4.7072
8.3082 4.9914 4.7059
1.6660 4.9835 0.0032
6.6479 6.6483 0.0063
3.3239 3.3241 0.0032
6.6474 3.3270 2.3538
3.3268 6.6479 2.3553
```

***

no.,VASP energy (eV/cell),calculated volume (Å³/cell)
1,-9.8,106.6
2,-45.9,88.5
3,-30.8,207.6